# SiGeP2Os | Alexandria via LeMat-Bulk | GGA-PBEsol | relaxed
# E_form (uncorrected)   1.166 eV per atom
data_SiGeP2Os
_space_group_name_H-M_alt 'P 4/m m m'
_space_group_IT_number 123
_space_group_name_Hall '-P 4 2'
_cell_length_a 4.428
_cell_length_b 4.428
_cell_length_c 4.528
_cell_angle_alpha 90.00
_cell_angle_beta 90.00
_cell_angle_gamma 90.00
loop_
_atom_site_label
_atom_site_type_symbol
_atom_site_fract_x
_atom_site_fract_y
_atom_site_fract_z
Si1 Si 0.000 0.000 0.000
Ge1 Ge 0.500 0.500 0.500
P1 P 0.000 0.500 0.000
Os1 Os 0.000 0.000 0.500



# GeOs3Pd | Alexandria via LeMat-Bulk | GGA-PBEsol | relaxed
# Energy relative to the elements   2.81 eV per atom
# Offset from the most stable computed form   20.07 kcal/mol of atoms
data_GeOs3Pd
_space_group_name_H-M_alt 'P m -3 m'
_space_group_IT_number 221
_space_group_name_Hall '-P 4 2 3'
_cell_length_a 4.647
_cell_length_b 4.647
_cell_length_c 4.647
_cell_angle_alpha 90.00
_cell_angle_beta 90.00
_cell_angle_gamma 90.00
loop_
_atom_site_label
_atom_site_type_symbol
_atom_site_fract_x
_atom_site_fract_y
_atom_site_fract_z
Ge1 Ge 0.000 0.000 0.000
Os1 Os 0.000 0.500 0.500
Pd1 Pd 0.500 0.500 0.500



# GeOs3Pd | Alexandria via LeMat-Bulk | GGA-PBEsol | relaxed
# Energy relative to the elements   1.93 eV per atom
# Offset from the most stable computed form   0.00 kcal/mol of atoms
data_GeOs3Pd
_space_group_name_H-M_alt 'P m -3 m'
_space_group_IT_number 221
_space_group_name_Hall '-P 4 2 3'
_cell_length_a 4.436
_cell_length_b 4.436
_cell_length_c 4.436
_cell_angle_alpha 90.00
_cell_angle_beta 90.00
_cell_angle_gamma 90.00
loop_
_atom_site_label
_atom_site_type_symbol
_atom_site_fract_x
_atom_site_fract_y
_atom_site_fract_z
Ge1 Ge 0.000 0.000 0.000
Os1 Os 0.000 0.000 0.500
Pd1 Pd 0.500 0.500 0.500



# Zn2GeOsPd | Alexandria via LeMat-Bulk | GGA-PBEsol | relaxed
# Energy relative to the elements   1.14 eV per atom
data_Zn2GeOsPd
_space_group_name_H-M_alt 'P 4/m m m'
_space_group_IT_number 123
_space_group_name_Hall '-P 4 2'
_cell_length_a 4.561
_cell_length_b 4.561
_cell_length_c 4.508
_cell_angle_alpha 90.00
_cell_angle_beta 90.00
_cell_angle_gamma 90.00
loop_
_atom_site_label
_atom_site_type_symbol
_atom_site_fract_x
_atom_site_fract_y
_atom_site_fract_z
Zn1 Zn 0.000 0.500 0.000
Ge1 Ge 0.000 0.000 0.500
Os1 Os 0.500 0.500 0.500
Pd1 Pd 0.000 0.000 0.000



# RbGeOs3 | Alexandria via LeMat-Bulk | GGA-PBEsol | relaxed
# Energy relative to the elements   2.06 eV per atom
data_RbGeOs3
_space_group_name_H-M_alt 'P m -3 m'
_space_group_IT_number 221
_space_group_name_Hall '-P 4 2 3'
_cell_length_a 4.669
_cell_length_b 4.669
_cell_length_c 4.669
_cell_angle_alpha 90.00
_cell_angle_beta 90.00
_cell_angle_gamma 90.00
loop_
_atom_site_label
_atom_site_type_symbol
_atom_site_fract_x
_atom_site_fract_y
_atom_site_fract_z
Rb1 Rb 0.000 0.000 0.000
Ge1 Ge 0.500 0.500 0.500
Os1 Os 0.000 0.500 0.500



# GeOs2S | Alexandria via LeMat-Bulk | GGA-PBEsol | relaxed
# E_form (uncorrected)   0.439 eV per atom
data_GeOs2S
_space_group_name_H-M_alt 'F m -3 m'
_space_group_IT_number 225
_space_group_name_Hall '-F 4 2 3'
_cell_length_a 6.011
_cell_length_b 6.011
_cell_length_c 6.011
_cell_angle_alpha 90.00
_cell_angle_beta 90.00
_cell_angle_gamma 90.00
loop_
_atom_site_label
_atom_site_type_symbol
_atom_site_fract_x
_atom_site_fract_y
_atom_site_fract_z
Ge1 Ge 0.000 0.000 0.000
Os1 Os 0.250 0.250 0.250
S1 S 0.000 0.000 0.500